No. 1
Density functional theory data (PBE) for an optimized crystal structure of BeTeMo2.

Cell lengths 6.3571, 6.3571, 6.3571 Å; angles 90.00, 90.00, 90.00 degrees
Closest atoms and distances in Å follow each position.
Space group F-43m (No. 216)
Asymmetric unit:
Be  0.0000  0.0000  0.0000 x4  4 Mo 2.75, 4 Te 2.75
Te  0.2500  0.2500  0.2500 x4  4 Mo 2.75, 4 Be 2.75
Mo  0.0000  0.0000  0.5000 x4  4 Mo 2.75, 4 Te 2.75
Mo  0.2500  0.2500  0.7500 x4  4 Mo 2.75, 4 Be 2.75



No. 2
Density functional theory data (PBE) for an optimized crystal structure of BeTeMo.

Cell lengths 3.3406, 3.3406, 8.2966 Å; angles 90.00, 90.00, 90.00 degrees
Closest atoms and distances in Å follow each position.
Space group I4mm (No. 107)
Asymmetric unit:
Be  0.0000  0.0000  0.0000 x2  5 Te 2.65-2.79, 5 Mo 2.66-2.92
Te  0.0000  0.0000  0.6800 x2  5 Be 2.65-2.79, 5 Mo 2.73-2.76
Mo  0.0000  0.0000  0.3515 x2  5 Be 2.66-2.92, 5 Te 2.73-2.76



No. 3
Density functional theory data (PBE) for an optimized crystal structure of BeTeMo.

Cell lengths 4.6711, 4.6711, 2.7667 Å; angles 90.00, 90.00, 120.00 degrees
Closest atoms and distances in Å follow each position.
Space group P3m1 (No. 156)
Asymmetric unit:
Be  0.0000  0.0000  0.0000 x1  3 Te 2.72, 2 Be 2.77, 3 Mo 2.82
Te  0.3333  0.6667  0.8831 x1  3 Be 2.72, 3 Mo 2.75, 2 Te 2.77
Mo  0.6667  0.3333  0.6969 x1  3 Te 2.75, 2 Mo 2.77, 3 Be 2.82



| no. | polymorph energy (0 for the lowest one) (eV/atom) | formation energy (no corrections) (eV per atom) |
| --- | --- | --- |
| 1 | 0.420 | 0.557 |
| 2 | 0.000 | 0.132 |
| 3 | 0.672 | 0.804 |